(1)
# GGA-PBE Tb2Tm3Ni4, relaxed
data_Tb2Tm3Ni4
_chemical_formula_sum 'Tb4 Tm6 Ni8'
_symmetry_space_group_name_H-M 'P 1 21/c 1'
_symmetry_Int_Tables_number 14
_symmetry_space_group_name_Hall '-P 2ybc'
_cell_length_a 7.2760
_cell_length_b 7.2189
_cell_length_c 7.4815
_cell_angle_alpha 90.00
_cell_angle_beta 107.01
_cell_angle_gamma 90.00
loop_
_atom_site_label
_atom_site_type_symbol
_atom_site_fract_x
_atom_site_fract_y
_atom_site_fract_z
Tb1 Tb 0.2005 0.1788 0.0944
Tm1 Tm 0.2381 0.6708 0.2509
Tm2 Tm 0.5000 0.0000 0.5000
Ni1 Ni 0.0893 0.5303 0.8815
Ni2 Ni 0.4996 0.1198 0.8829
# Spin magnetization: 0.000 μB per atom
# Raw total energy: -99.03 eV for the cell shown

***

(2)
# GGA-PBE NdMg2In2Au2, relaxed
data_NdMg2In2Au2
_chemical_formula_sum 'Nd3 Mg6 In6 Au6'
_symmetry_space_group_name_H-M 'R -3 m'
_symmetry_Int_Tables_number 166
_symmetry_space_group_name_Hall '-R 3 2"'
_cell_length_a 4.6543
_cell_length_b 4.6543
_cell_length_c 25.5407
_cell_angle_alpha 90.00
_cell_angle_beta 90.00
_cell_angle_gamma 120.00
loop_
_atom_site_label
_atom_site_type_symbol
_atom_site_fract_x
_atom_site_fract_y
_atom_site_fract_z
Nd1 Nd 0.0000 0.0000 0.0000
Mg1 Mg 0.0000 0.0000 0.1379
In1 In 0.0000 0.0000 0.2621
Au1 Au 0.0000 0.0000 0.4397
# Spin magnetization: 0.000 μB per atom
# Raw total energy: -69.15 eV for the cell shown

***

(3)
# GGA-PBE LaCd4Sn, relaxed
data_LaCd4Sn
_chemical_formula_sum 'La4 Cd16 Sn4'
_symmetry_space_group_name_H-M 'F -4 3 m'
_symmetry_Int_Tables_number 216
_symmetry_space_group_name_Hall 'F -4 2 3'
_cell_length_a 8.5270
_cell_length_b 8.5270
_cell_length_c 8.5270
_cell_angle_alpha 90.00
_cell_angle_beta 90.00
_cell_angle_gamma 90.00
loop_
_atom_site_label
_atom_site_type_symbol
_atom_site_fract_x
_atom_site_fract_y
_atom_site_fract_z
La1 La 0.0000 0.0000 0.0000
Cd1 Cd 0.1248 0.1248 0.6248
Sn1 Sn 0.2500 0.2500 0.2500
# Spin magnetization: 0.000 μB per atom
# Raw total energy: -54.41 eV for the cell shown